1.
I2O2F after structural relaxation. Source: Alexandria, functional PBEsol.

Formation energy from raw total energies, meV per atom: 1019
Space-group type: P4/mmm
Calculated volume, A^3/atom: 19.93
Total magnetic moment, Bohr magnetons per cell: 4.04

Cell: 4.3792 4.7697 4.7697 Å, 90.00 90.00 90.00°
With the nearest neighbours (Å) after each atom.
Atoms (fractional coordinates):
O1 0.5000 0.5000 0.5000  8 I 3.24, 4 O 3.37
O2 0.5000 0.0000 0.0000  2 F 2.19
I1 0.0000 0.0000 0.5000  2 F 2.38
I2 0.0000 0.5000 0.0000  2 F 2.38
F1 0.0000 0.0000 0.0000  2 O 2.19, 4 I 2.38

***

2.
I2OF after structural relaxation. Source: Alexandria, functional PBEsol.

Formation energy from raw total energies, meV per atom: 40
Space-group type: I-42d
Calculated volume, A^3/atom: 24.49
Total magnetic moment, Bohr magnetons per cell: 0.00

Cell: 5.2081 5.2081 8.1088 Å, 108.73 108.73 90.00°
With the nearest neighbours (Å) after each atom.
Atoms (fractional coordinates):
I1 0.6250 0.4929 0.7500  2 O 2.31
I2 0.7429 0.3750 0.2500  2 O 2.31
O1 0.5000 0.5000 0.0000  4 I 2.31
I3 0.5071 0.8750 0.2500  2 O 2.31
F1 0.0000 0.0000 0.0000  4 I 2.99
I4 0.1250 0.2571 0.7500  2 O 2.31
O2 0.7500 0.2500 0.5000  4 I 2.31
F2 0.2500 0.7500 0.5000  4 I 2.99

***

3.
OsIO2F after structural relaxation. Source: Alexandria, functional PBEsol.

Formation energy from raw total energies, meV per atom: 1150
Space-group type: P4/mmm
Calculated volume, A^3/atom: 16.74
Total magnetic moment, Bohr magnetons per cell: 4.24

Cell: 4.0021 4.0021 5.2253 Å, 90.00 90.00 90.00°
With the nearest neighbours (Å) after each atom.
Atoms (fractional coordinates):
O1 0.5000 0.0000 0.0000  2 I 2.00
F1 0.0000 0.0000 0.5000  2 I 2.61, 4 Os 2.83
O2 0.0000 0.5000 0.0000  2 I 2.00
I1 0.0000 0.0000 0.0000  4 O 2.00
Os1 0.5000 0.5000 0.5000  4 F 2.83

***

4.
PbIO2F after structural relaxation. Source: Alexandria, functional PBEsol.

Formation energy from raw total energies, meV per atom: -407
Space-group type: P4/mmm
Calculated volume, A^3/atom: 16.51
Total magnetic moment, Bohr magnetons per cell: 1.56

Cell: 4.3252 4.3252 4.4119 Å, 90.00 90.00 90.00°
With the nearest neighbours (Å) after each atom.
Atoms (fractional coordinates):
F1 0.0000 0.0000 0.5000  2 Pb 2.21
O1 0.0000 0.5000 0.0000  2 Pb 2.16
O2 0.5000 0.0000 0.0000  2 Pb 2.16
I1 0.5000 0.5000 0.5000  4 F 3.06, 8 O 3.09
Pb1 0.0000 0.0000 0.0000  4 O 2.16, 2 F 2.21